Compound: LiHfSnBi2
Source: Alexandria
Functional: GGA-PBE
Structure: optimized geometry

Computed properties:
formation energy from the elements: 0.54 eV per atom
DOS(E_F): 3.51 states/eV per cell
space group: P4/mmm (123)

Cell: 5.6121 5.6121 5.4406 Å, 90.00 90.00 90.00°
Fractional coordinates of all 5 atoms:
1 Li 0.0000 0.0000 0.0000
2 Hf 0.0000 0.0000 0.5000
3 Sn 0.5000 0.5000 0.0000
4 Bi 0.0000 0.5000 0.5000
5 Bi 0.5000 0.0000 0.5000



Compound: LuHfBi
Source: Alexandria
Functional: GGA-PBE
Structure: optimized geometry

Computed properties:
formation energy from the elements: 0.05 eV per atom
DOS(E_F): 3.16 states/eV per cell
space group: P3m1 (156)

Cell: 5.2894 5.2894 3.2770 Å, 90.00 90.00 120.00°
Fractional coordinates of all 3 atoms:
1 Lu 0.0000 0.0000 0.0000
2 Hf 0.6667 0.3333 0.5019
3 Bi 0.3333 0.6667 0.4925



Compound: LuHfBi
Source: Alexandria
Functional: GGA-PBE
Structure: optimized geometry

Computed properties:
formation energy from the elements: -0.25 eV per atom
DOS(E_F): 2.53 states/eV per cell
space group: I4mm (107)

Cell: 3.8026 3.8026 10.5026 Å, 90.00 90.00 90.00°
Fractional coordinates of all 6 atoms:
1 Lu 0.0000 0.0000 0.0000
2 Lu 0.5000 0.5000 0.5000
3 Hf 0.0000 0.0000 0.3266
4 Hf 0.5000 0.5000 0.8266
5 Bi 0.0000 0.0000 0.6766
6 Bi 0.5000 0.5000 0.1766



Compound: Lu5Hf3Bi12
Source: Alexandria
Functional: GGA-PBE
Structure: optimized geometry

Computed properties:
formation energy from the elements: 0.05 eV per atom
DOS(E_F): 65.07 states/eV per cell
space group: Ia-3d (230)

Cell: 15.4244 15.4244 15.4244 Å, 109.47 109.47 109.47°
Fractional coordinates of all 80 atoms:
1 Lu 0.0000 0.0000 0.0000
2 Lu 0.0000 0.0000 0.5000
3 Lu 0.0000 0.5000 0.0000
4 Lu 0.0000 0.5000 0.5000
5 Lu 0.1250 0.7500 0.8750
6 Lu 0.1250 0.8750 0.2500
7 Lu 0.2500 0.1250 0.8750
8 Lu 0.2500 0.6250 0.3750
9 Lu 0.3750 0.2500 0.6250
10 Lu 0.3750 0.6250 0.7500
11 Lu 0.5000 0.0000 0.0000
12 Lu 0.5000 0.0000 0.5000
13 Lu 0.5000 0.5000 0.0000
14 Lu 0.5000 0.5000 0.5000
15 Lu 0.6250 0.3750 0.2500
16 Lu 0.6250 0.7500 0.3750
17 Lu 0.7500 0.3750 0.6250
18 Lu 0.7500 0.8750 0.1250
19 Lu 0.8750 0.1250 0.7500
20 Lu 0.8750 0.2500 0.1250
21 Hf 0.1250 0.2500 0.3750
22 Hf 0.1250 0.3750 0.7500
23 Hf 0.2500 0.3750 0.1250
24 Hf 0.2500 0.8750 0.6250
25 Hf 0.3750 0.1250 0.2500
26 Hf 0.3750 0.7500 0.1250
27 Hf 0.6250 0.2500 0.8750
28 Hf 0.6250 0.8750 0.7500
29 Hf 0.7500 0.1250 0.3750
30 Hf 0.7500 0.6250 0.8750
31 Hf 0.8750 0.6250 0.2500
32 Hf 0.8750 0.7500 0.6250
33 Bi 0.0652 0.2398 0.1304
34 Bi 0.0652 0.3255 0.9349
35 Bi 0.0651 0.6304 0.3906
36 Bi 0.0651 0.9348 0.6745
37 Bi 0.1094 0.7398 0.6745
38 Bi 0.1094 0.8696 0.4349
39 Bi 0.1304 0.0652 0.2398
40 Bi 0.1304 0.5651 0.8906
41 Bi 0.1745 0.2398 0.6094
42 Bi 0.1745 0.4348 0.5651
43 Bi 0.2398 0.1304 0.0652
44 Bi 0.2398 0.6094 0.1745
45 Bi 0.2602 0.3255 0.8906
46 Bi 0.2602 0.4348 0.3696
47 Bi 0.3255 0.8906 0.2602
48 Bi 0.3255 0.9349 0.0652
49 Bi 0.3696 0.2602 0.4348
50 Bi 0.3696 0.6094 0.9349
51 Bi 0.3906 0.0651 0.6304
52 Bi 0.3906 0.8255 0.7602
53 Bi 0.4349 0.1094 0.8696
54 Bi 0.4348 0.3696 0.2602
55 Bi 0.4348 0.5651 0.1745
56 Bi 0.4349 0.8255 0.5652
57 Bi 0.5651 0.1745 0.4348
58 Bi 0.5652 0.4349 0.8255
59 Bi 0.5652 0.6304 0.7398
60 Bi 0.5651 0.8906 0.1304
61 Bi 0.6094 0.1745 0.2398
62 Bi 0.6094 0.9349 0.3696
63 Bi 0.6304 0.3906 0.0651
64 Bi 0.6304 0.7398 0.5652
65 Bi 0.6745 0.0651 0.9348
66 Bi 0.6745 0.1094 0.7398
67 Bi 0.7398 0.5652 0.6304
68 Bi 0.7398 0.6745 0.1094
69 Bi 0.7602 0.3906 0.8255
70 Bi 0.7602 0.8696 0.9348
71 Bi 0.8255 0.5652 0.4349
72 Bi 0.8255 0.7602 0.3906
73 Bi 0.8696 0.4349 0.1094
74 Bi 0.8696 0.9348 0.7602
75 Bi 0.8906 0.1304 0.5651
76 Bi 0.8906 0.2602 0.3255
77 Bi 0.9349 0.0652 0.3255
78 Bi 0.9349 0.3696 0.6094
79 Bi 0.9348 0.6745 0.0651
80 Bi 0.9348 0.7602 0.8696



Compound: HfMg2Bi2
Source: Alexandria
Functional: GGA-PBE
Structure: optimized geometry

Computed properties:
formation energy from the elements: 0.17 eV per atom
DOS(E_F): 8.08 states/eV per cell
space group: P4/mbm (127)

Cell: 8.0706 8.0706 3.8520 Å, 90.00 90.00 90.00°
Fractional coordinates of all 10 atoms:
1 Hf 0.0000 0.0000 0.0000
2 Hf 0.5000 0.5000 0.0000
3 Mg 0.1271 0.3729 0.0000
4 Mg 0.3729 0.8729 0.0000
5 Mg 0.6271 0.1271 0.0000
6 Mg 0.8729 0.6271 0.0000
7 Bi 0.1765 0.6765 0.5000
8 Bi 0.3235 0.1765 0.5000
9 Bi 0.6765 0.8235 0.5000
10 Bi 0.8235 0.3235 0.5000



Compound: HfMg2Bi2
Source: Alexandria
Functional: GGA-PBE
Structure: optimized geometry

Computed properties:
formation energy from the elements: 0.52 eV per atom
DOS(E_F): 9.96 states/eV per cell
space group: I4/mmm (139)

Cell: 4.5724 4.5724 13.4997 Å, 90.00 90.00 90.00°
Fractional coordinates of all 10 atoms:
1 Hf 0.0000 0.0000 0.0000
2 Hf 0.5000 0.5000 0.5000
3 Mg 0.0000 0.0000 0.4030
4 Mg 0.0000 0.0000 0.5970
5 Mg 0.5000 0.5000 0.0970
6 Mg 0.5000 0.5000 0.9030
7 Bi 0.0000 0.5000 0.2500
8 Bi 0.0000 0.5000 0.7500
9 Bi 0.5000 0.0000 0.2500
10 Bi 0.5000 0.0000 0.7500



Copy entry 5 word for word.
Compound: HfMg2Bi2
Source: Alexandria
Functional: GGA-PBE
Structure: optimized geometry

Computed properties:
formation energy from the elements: 0.17 eV per atom
DOS(E_F): 8.08 states/eV per cell
space group: P4/mbm (127)

Cell: 8.0706 8.0706 3.8520 Å, 90.00 90.00 90.00°
Fractional coordinates of all 10 atoms:
1 Hf 0.0000 0.0000 0.0000
2 Hf 0.5000 0.5000 0.0000
3 Mg 0.1271 0.3729 0.0000
4 Mg 0.3729 0.8729 0.0000
5 Mg 0.6271 0.1271 0.0000
6 Mg 0.8729 0.6271 0.0000
7 Bi 0.1765 0.6765 0.5000
8 Bi 0.3235 0.1765 0.5000
9 Bi 0.6765 0.8235 0.5000
10 Bi 0.8235 0.3235 0.5000



Q: What is the formation energy from the elements in the first record?
A: 0.54 eV per atom



Q: Among the records above, which one has the lowest DOS(E_F)?
A: number 3



Q: Which of these has the highest DOS(E_F)?
A: Lu5Hf3Bi12